Entry from the Alexandria database: an optimized crystal structure of Ta6Nb3Mo (GGA-PBE).

extended XYZ file:
```
20
Lattice="-2.6387 0.3451 -0.5227 -1.4541 -11.0605 0.0384 -1.3990 7.3503 11.9161" Properties=species:S:1:pos:R:3 pbc="T T T"
Ta -2.1644 1.1677 8.1802
Mo -2.3547 -7.3937 3.4879
Ta -2.1052 5.2602 10.5830
Ta -2.8311 -0.2609 10.6027
Nb -3.7836 2.6961 10.3279
Ta -3.8618 -1.4248 8.0017
Nb -3.1922 -3.0081 10.6120
Nb -1.7082 -6.0612 1.1040
Ta -4.2440 -4.3045 8.0298
Ta -3.3867 -8.6252 0.8489
Ta -2.8436 2.5467 5.4833
Ta -2.6483 -5.9118 5.9486
Nb -3.5848 -2.9808 5.5759
Ta -3.3274 -4.5327 3.2517
Ta -2.6607 -3.1042 0.8292
Mo -3.1372 4.0286 7.9440
Nb -2.2996 -0.3570 0.8199
Nb -1.9070 -0.3842 5.8560
Ta -1.2478 0.9394 3.4021
Ta -1.6300 -1.9403 3.4302
```

## Properties
The energy above the lowest structure with this stoichiometry comes out at 0.266 eV per atom. As for the crystal system: monoclinic. The value obtained for the theoretical density is 13.17 g cm⁻³. The calculation puts the density of states at the Fermi level at 23.9 states/eV/cell.